The following is a DFT calculation (GGA-PBE) of ScIr2I after structural relaxation.

Density of states at the Fermi level, states/eV/atom: 1.20
Formation energy from raw total energies, eV/atom: 0.324
E_tot, eV per atom: -6.08
Energy above the lowest structure with this stoichiometry, meV per atom: 0.0

a b c (Å): 6.6450 6.6450 6.6450
angles (deg): 90.00 90.00 90.00
Space group Fm-3m (No. 225)
Asymmetric unit:
Sc  0.0000  0.0000  0.0000 [4 per cell]
Ir  0.2500  0.2500  0.2500 [8 per cell]
I  0.0000  0.0000  0.5000 [4 per cell]